[1]
Computed, not measured: an optimized crystal structure of PrTh2Tc at the PBE level of DFT.

POSCAR file:
```
PrTh2Tc
1.0
-0.2802 -2.3091 -3.3446
-1.1266 -3.9030 0.3078
-8.9015 0.2905 -1.9361
Pr Tc Th
1 1 2
Direct
0.5027 0.5027 0.4919
0.6636 0.6636 0.0091
0.0579 0.0579 0.8262
0.2758 0.2758 0.1727
```

The density of states at the Fermi level comes out at 5.29 states/eV/cell. The energy above the lowest structure with this stoichiometry is 147 meV/atom. Its space group is R3m (160). As for the energy of formation from the pure elements: 0.0570 eV per atom.

[2]
Computed, not measured: an optimized crystal structure of Cs5Sb8 at the PBE level of DFT.

POSCAR file:
```
Cs5Sb8
1.0
11.6822 0.0000 0.0000
0.0000 7.4598 0.0417
0.0000 3.4220 28.1770
Sb Cs
32 20
Direct
0.7496 0.7634 0.0246
0.9653 0.4704 0.3919
0.3598 0.1906 0.8874
0.8725 0.8140 0.2560
0.5220 0.0114 0.6252
0.8571 0.6981 0.1641
0.2504 0.2366 0.9754
0.6402 0.8094 0.1126
0.8054 0.4932 0.3171
0.2496 0.2366 0.4754
0.9045 0.0625 0.0278
0.6429 0.6981 0.6641
0.8598 0.8094 0.6126
0.4653 0.5296 0.1081
0.1402 0.1906 0.3874
0.6275 0.8140 0.7560
0.3571 0.3019 0.3359
0.4780 0.9886 0.3748
0.9780 0.0114 0.1252
0.4045 0.9375 0.4722
0.3725 0.1860 0.2440
0.5347 0.4704 0.8919
0.1946 0.5068 0.6829
0.0955 0.9375 0.9722
0.6946 0.4932 0.8171
0.7504 0.7634 0.5246
0.1275 0.1860 0.7440
0.5955 0.0625 0.5278
0.0347 0.5296 0.6081
0.3054 0.5068 0.1829
0.1429 0.3019 0.8359
0.0220 0.9886 0.8748
0.4612 0.2952 0.7415
0.3959 0.7435 0.9797
0.3148 0.0187 0.1238
0.8959 0.2565 0.5203
0.3071 0.7682 0.8126
0.0388 0.2952 0.2415
0.5665 0.4714 0.4248
0.1041 0.7435 0.4797
0.4335 0.5286 0.5752
0.6041 0.2565 0.0203
0.0665 0.5286 0.0752
0.9612 0.7048 0.7585
0.9335 0.4714 0.9248
0.1929 0.7682 0.3126
0.6852 0.9813 0.8762
0.1852 0.0187 0.6238
0.8071 0.2318 0.6874
0.6929 0.2318 0.1874
0.5388 0.7048 0.2585
0.8148 0.9813 0.3762
```

Its space group is P2_1/c (14). As for the uncorrected formation energy: -4.8 eV per formula unit.

[3]
Computed, not measured: an optimized crystal structure of LiZrRe2 at the PBE level of DFT.

POSCAR file:
```
LiZrRe2
1.0
-0.1215 2.1229 -3.9421
-3.5211 2.5579 -1.0585
0.4353 4.4550 -0.1588
Li Re Zr
1 2 1
Direct
0.5000 0.5000 0.5000
0.0000 0.0000 0.0000
0.2500 0.2500 0.2500
0.7500 0.7500 0.7500
```

The density of states at the Fermi level comes out at 4.03 states/eV/cell. The energy above the lowest structure with this stoichiometry is 0 meV/atom. Its space group is F-43m (216). As for the energy of formation from the pure elements: 0.0798 eV per atom.

[4]
Computed, not measured: an optimized crystal structure of NaSrNdCl6 at the PBE level of DFT.

POSCAR file:
```
NaSrNdCl6
1.0
-2.6835 -6.4479 -1.4168
4.3933 3.1325 -4.6552
9.9451 -5.4025 5.7502
Sr Na Cl Nd
2 2 12 2
Direct
0.0000 0.0000 0.0000
0.0000 0.0000 0.5000
0.6667 0.3333 0.7500
0.3333 0.6667 0.2500
0.3380 0.3474 0.8706
0.0094 0.3474 0.6294
0.3474 0.0094 0.1294
0.9906 0.3380 0.1294
0.6526 0.9906 0.8706
0.3474 0.3380 0.3706
0.6620 0.6526 0.1294
0.9906 0.6526 0.3706
0.0094 0.6620 0.8706
0.6620 0.0094 0.3706
0.6526 0.6620 0.6294
0.3380 0.9906 0.6294
0.6667 0.3333 0.2500
0.3333 0.6667 0.7500
```

The density of states at the Fermi level comes out at 0.00 states/eV/cell. Its space group is P-31c (163). As for the uncorrected formation energy: -20.1 eV per formula unit.

[5]
Computed, not measured: an optimized crystal structure of YReSeN2 at the PBE level of DFT.

POSCAR file:
```
YReSeN2
1.0
3.9416 0.0000 0.0000
0.0000 3.9416 0.0000
0.0000 0.0000 5.2045
Y Re Se N
1 1 1 2
Direct
0.5000 0.5000 0.5000
0.0000 0.0000 0.0000
0.0000 0.0000 0.5000
0.0000 0.5000 0.0000
0.5000 0.0000 0.0000
```

The density of states at the Fermi level comes out at 2.38 states/eV/cell. The energy above the lowest structure with this stoichiometry is 0 meV/atom. Its space group is P4/mmm (123). As for the uncorrected formation energy: -1.5 eV per formula unit.

[6]
Computed, not measured: an optimized crystal structure of Dy4YHo3 at the PBE level of DFT.

POSCAR file:
```
Dy4YHo3
1.0
-2.1135 -5.8598 0.6992
6.7038 -2.2227 1.6360
-1.9819 2.0095 10.8516
Dy Ho Y
8 6 2
Direct
0.1484 0.8753 0.5000
0.4801 0.8751 0.7510
0.9801 0.1249 0.7490
0.6484 0.1247 0.0000
0.9801 0.1249 0.2510
0.4801 0.8751 0.2490
0.6469 0.1256 0.5000
0.1469 0.8744 0.0000
0.6479 0.6245 0.0000
0.9818 0.6250 0.7499
0.9818 0.6250 0.2501
0.4818 0.3750 0.7501
0.1479 0.3755 0.5000
0.4818 0.3750 0.2499
0.1481 0.3747 0.0000
0.6481 0.6253 0.5000
```

The density of states at the Fermi level comes out at 26.83 states/eV/cell. The energy above the lowest structure with this stoichiometry is 0 meV/atom. Its space group is Pmn2_1 (31). As for the energy of formation from the pure elements: 0.0045 eV per atom.

[7]
Computed, not measured: an optimized crystal structure of Zn2RePb at the PBE level of DFT.

POSCAR file:
```
Zn2RePb
1.0
3.5107 0.0000 0.0000
0.0000 3.5107 0.0000
0.0000 0.0000 5.7055
Re Zn Pb
1 2 1
Direct
0.5000 0.5000 0.7500
0.0000 0.0000 0.9600
0.0000 0.0000 0.5400
0.5000 0.5000 0.2500
```

The density of states at the Fermi level comes out at 2.34 states/eV/cell. Its space group is P4/mmm (123). As for the energy of formation from the pure elements: 0.5265 eV per atom.

[8]
Computed, not measured: an optimized crystal structure of OsAuSeN2 at the PBE level of DFT.

POSCAR file:
```
OsAuSeN2
1.0
3.7579 0.0000 0.0000
0.0000 3.7579 0.0000
0.0000 0.0000 7.8023
Se N Au Os
1 2 1 1
Direct
0.0000 0.0000 0.5000
0.5000 0.0000 0.0000
0.0000 0.5000 0.0000
0.0000 0.0000 0.0000
0.5000 0.5000 0.5000
```

The density of states at the Fermi level comes out at 4.75 states/eV/cell. The energy above the lowest structure with this stoichiometry is 1737 meV/atom. Its space group is P4/mmm (123). As for the uncorrected formation energy: 11.9 eV per formula unit.

[9]
Computed, not measured: an optimized crystal structure of LiTc2Cl at the PBE level of DFT.

POSCAR file:
```
LiTc2Cl
1.0
3.0651 0.0000 0.0000
0.0000 3.0651 0.0000
0.0000 0.0000 7.4397
Cl Li Tc
1 1 2
Direct
0.0000 0.0000 0.6294
0.5000 0.5000 0.7294
0.5000 0.5000 0.1577
0.0000 0.0000 0.9835
```

The density of states at the Fermi level comes out at 2.32 states/eV/cell. The energy above the lowest structure with this stoichiometry is 34 meV/atom. Its space group is P4mm (99). As for the uncorrected formation energy: -0.6 eV per formula unit.

[10]
Computed, not measured: an optimized crystal structure of YZr2As at the PBE level of DFT.

POSCAR file:
```
YZr2As
1.0
-0.6005 -7.9329 -2.3657
1.7269 -2.4398 7.7429
-2.2306 -5.1629 3.3191
Y Zr As
2 4 2
Direct
0.7500 0.2500 0.5000
0.0000 0.0000 0.0000
0.8750 0.8144 0.7500
0.3750 0.4356 0.7500
0.1856 0.6250 0.2500
0.5644 0.1250 0.2500
0.2500 0.7500 0.5000
0.5000 0.5000 0.0000
```

The density of states at the Fermi level comes out at 7.60 states/eV/cell. Its space group is I-42d (122). As for the energy of formation from the pure elements: -0.2597 eV per atom.

[11]
Computed, not measured: an optimized crystal structure of Ac6Nd4Tm at the PBE level of DFT.

POSCAR file:
```
Ac6Nd4Tm
1.0
-8.2581 2.6690 6.0805
2.5124 -2.0028 -10.0980
5.5339 -8.4715 -3.1467
Ac Nd Tm
6 4 1
Direct
0.5000 0.0000 0.5000
0.5000 0.5000 0.0000
0.3663 0.5380 0.5372
0.0008 0.8291 0.4628
0.6337 0.1709 0.1717
0.9992 0.4620 0.8283
0.6322 0.9807 0.9816
0.3678 0.3494 0.3485
0.0009 0.0193 0.6515
0.9991 0.6506 0.0184
0.0000 0.0000 0.0000
```

The density of states at the Fermi level comes out at 18.04 states/eV/cell. Its space group is I-42m (121). As for the energy of formation from the pure elements: 0.3092 eV per atom.

[12]
Computed, not measured: an optimized crystal structure of KNp4S8 at the PBE level of DFT.

POSCAR file:
```
KNp4S8
1.0
8.2245 0.0000 0.0000
4.1122 7.1226 0.0000
4.1122 2.3742 6.7153
Np S K
4 8 1
Direct
0.3733 0.8801 0.3733
0.8801 0.3733 0.3733
0.3733 0.3733 0.8801
0.3733 0.3733 0.3733
0.1413 0.1413 0.1413
0.5761 0.1413 0.1413
0.6048 0.6048 0.6048
0.1413 0.1413 0.5761
0.6048 0.1855 0.6048
0.1413 0.5761 0.1413
0.1855 0.6048 0.6048
0.6048 0.6048 0.1855
0.7500 0.7500 0.7500
```

The density of states at the Fermi level comes out at 30.79 states/eV/cell. The energy above the lowest structure with this stoichiometry is 45 meV/atom. Its space group is F-43m (216). As for the uncorrected formation energy: -16.9 eV per formula unit.

[13]
Computed, not measured: an optimized crystal structure of AgHOF2 at the PBE level of DFT.

POSCAR file:
```
AgHOF2
1.0
4.2868 0.0000 0.0000
0.0000 4.2868 0.0000
0.0000 0.0000 2.6465
O F H Ag
1 2 1 1
Direct
0.0000 0.0000 0.5000
0.5000 0.0000 0.0000
0.0000 0.5000 0.0000
0.0000 0.0000 0.0000
0.5000 0.5000 0.5000
```

The density of states at the Fermi level comes out at 2.95 states/eV/cell. The energy above the lowest structure with this stoichiometry is 0 meV/atom. Its space group is P4/mmm (123).

[14]
Computed, not measured: an optimized crystal structure of Be6IrPd5 at the PBE level of DFT.

POSCAR file:
```
Be6IrPd5
1.0
-3.5301 1.8530 0.2543
0.5319 1.7482 -5.3591
-1.2433 -6.7654 0.6606
Be Pd Ir
6 5 1
Direct
0.1627 0.4061 0.3253
0.4999 0.7639 0.0000
0.1626 0.9192 0.3253
0.8373 0.5939 0.6747
0.5001 0.2361 0.0000
0.8374 0.0808 0.6747
0.3338 0.3338 0.6676
0.3296 0.8296 0.6592
0.0000 0.5000 0.0000
0.6704 0.1704 0.3408
0.6662 0.6662 0.3324
0.0000 0.0000 0.0000
```

The density of states at the Fermi level comes out at 3.03 states/eV/cell. Its space group is Immm (71). As for the energy of formation from the pure elements: -0.6158 eV per atom.

[15]
Computed, not measured: an optimized crystal structure of Ag2Pd5Au4 at the PBE level of DFT.

POSCAR file:
```
Ag2Pd5Au4
1.0
5.3055 0.0000 0.0000
2.6528 4.3664 0.0000
2.6528 0.0000 9.2557
Au Pd Ag
4 5 2
Direct
0.5411 0.6644 0.2535
0.2054 0.3356 0.2535
0.7946 0.6644 0.7465
0.4589 0.3356 0.7465
0.2500 0.5000 0.5000
0.0000 0.5000 0.0000
0.5000 0.5000 0.0000
0.5000 0.0000 0.0000
0.7500 0.5000 0.5000
0.8300 0.0000 0.3399
0.1700 0.0000 0.6601
```

The density of states at the Fermi level comes out at 7.71 states/eV/cell. The energy above the lowest structure with this stoichiometry is 279 meV/atom. Its space group is Fmmm (69). As for the energy of formation from the pure elements: 0.1980 eV per atom.

[16]
Computed, not measured: an optimized crystal structure of Zn2RuCl at the PBE level of DFT.

POSCAR file:
```
Zn2RuCl
1.0
4.4552 0.0000 0.0000
2.2276 3.8583 0.0000
2.2276 1.2861 3.6376
Cl Zn Ru
1 2 1
Direct
0.5000 0.5000 0.5000
0.7500 0.7500 0.7500
0.0000 0.0000 0.0000
0.2500 0.2500 0.2500
```

The density of states at the Fermi level comes out at 3.99 states/eV/cell. The energy above the lowest structure with this stoichiometry is 577 meV/atom. Its space group is F-43m (216). As for the uncorrected formation energy: 2.0 eV per formula unit.

[17]
Computed, not measured: an optimized crystal structure of NaTePd4 at the PBE level of DFT.

POSCAR file:
```
NaTePd4
1.0
4.6810 0.0000 0.0000
0.0000 7.5862 0.0000
0.0000 0.0000 6.1861
Pd Te Na
8 2 2
Direct
0.0000 0.0000 0.0000
0.5000 0.9801 0.7500
0.0000 0.0000 0.5000
0.5000 0.3138 0.9761
0.5000 0.6862 0.4761
0.5000 0.0199 0.2500
0.5000 0.3138 0.5239
0.5000 0.6862 0.0239
0.0000 0.2793 0.7500
0.0000 0.7207 0.2500
0.0000 0.3280 0.2500
0.0000 0.6720 0.7500
```

The density of states at the Fermi level comes out at 8.36 states/eV/cell. The energy above the lowest structure with this stoichiometry is 0 meV/atom. Its space group is Pmma (51). As for the uncorrected formation energy: -1.1 eV per formula unit.

[18]
Computed, not measured: an optimized crystal structure of Cs2RbZnSn at the PBE level of DFT.

POSCAR file:
```
Cs2RbZnSn
1.0
-5.8736 1.1862 4.1299
2.1957 -5.1840 4.6118
2.6549 3.5711 2.7502
Zn Cs Rb Sn
1 2 1 1
Direct
0.0000 0.0000 0.0000
0.0000 0.5000 0.0000
0.5000 0.0000 0.0000
0.5000 0.5000 0.5000
0.0000 0.0000 0.5000
```

The density of states at the Fermi level comes out at 1.39 states/eV/cell. Its space group is P4/mmm (123). As for the energy of formation from the pure elements: 0.0275 eV per atom.

[19]
Computed, not measured: an optimized crystal structure of TbNd2PO8 at the PBE level of DFT.

POSCAR file:
```
TbNd2PO8
1.0
-2.5719 2.1420 -4.0344
0.4377 -5.2114 0.3597
-5.3165 -0.2206 3.2721
Nd O P Tb
2 8 1 1
Direct
0.3333 0.6667 0.8622
0.6667 0.3333 0.1378
0.8479 0.1521 0.8372
0.6959 0.8479 0.1628
0.3041 0.1521 0.8372
0.8479 0.6959 0.8372
0.6667 0.3333 0.4805
0.1521 0.8479 0.1628
0.1521 0.3041 0.1628
0.3333 0.6667 0.5195
0.0000 0.0000 0.0000
0.0000 0.0000 0.5000
```

The density of states at the Fermi level comes out at 4.59 states/eV/cell. Its space group is P-3m1 (164). As for the uncorrected formation energy: -28.6 eV per formula unit.

[20]
Computed, not measured: an optimized crystal structure of Gd3Y at the PBE level of DFT.

POSCAR file:
```
Gd3Y
1.0
3.6227 0.0000 0.0000
0.0000 6.2747 0.0000
-1.8113 -3.1374 5.7583
Gd Y
3 1
Direct
0.7494 0.0827 0.4988
0.5000 0.4990 0.0000
0.2506 0.5839 0.5012
0.0000 0.0010 0.0000
```

The density of states at the Fermi level comes out at 7.04 states/eV/cell. The energy above the lowest structure with this stoichiometry is 0 meV/atom. Its space group is Imm2 (44). As for the energy of formation from the pure elements: -0.0022 eV per atom.